Record 1
# YHo2Th3S6 | Alexandria | PBE | relaxed
# **DOS(E_F)**: 14.4 states/eV per cell
# **Magnetization**: 0.000 μB/cell
# **Formation energy (no corrections)**: -1.8996 eV per atom
data_YHo2Th3S6
_chemical_formula_sum 'Y2 Ho4 Th6 S12'
_cell_length_a 6.7530
_cell_length_b 11.6254
_cell_length_c 7.1184
_cell_angle_alpha 90.00
_cell_angle_beta 108.20
_cell_angle_gamma 90.00
_space_group_name_H-M_alt 'C 1 2/m 1'
_space_group_IT_number 12
_space_group_name_Hall '-C 2y'
loop_
_atom_site_label
_atom_site_type_symbol
_atom_site_fract_x
_atom_site_fract_y
_atom_site_fract_z
Y1 Y 0.0000 0.0000 0.0000
Ho1 Ho 0.0000 0.3333 0.0000
Th1 Th 0.0000 0.1659 0.5000
Th2 Th 0.0000 0.5000 0.5000
S1 S 0.2420 0.5000 0.2316
S2 S 0.2451 0.1676 0.2325

***

Record 2
# Y2HoThS4 | Alexandria | PBE | relaxed
# **DOS(E_F)**: 3.3 states/eV per cell
# **Magnetization**: 0.000 μB/cell
# **Formation energy (no corrections)**: -1.9339 eV per atom
data_Y2HoThS4
_chemical_formula_sum 'Y2 Ho1 Th1 S4'
_cell_length_a 6.8395
_cell_length_b 3.9140
_cell_length_c 6.8617
_cell_angle_alpha 90.00
_cell_angle_beta 109.15
_cell_angle_gamma 90.00
_space_group_name_H-M_alt 'P 1 2/m 1'
_space_group_IT_number 10
_space_group_name_Hall '-P 2y'
loop_
_atom_site_label
_atom_site_type_symbol
_atom_site_fract_x
_atom_site_fract_y
_atom_site_fract_z
Y1 Y 0.0000 0.0000 0.0000
Y2 Y 0.0000 0.5000 0.5000
Ho1 Ho 0.5000 0.0000 0.5000
Th1 Th 0.5000 0.5000 0.0000
S1 S 0.2423 0.0000 0.7400
S2 S 0.2481 0.5000 0.2566

***

Record 3
# Y2Ho3ThS6 | Alexandria | PBE | relaxed
# **DOS(E_F)**: 12.0 states/eV per cell
# **Magnetization**: 0.000 μB/cell
# **Formation energy (no corrections)**: -1.9482 eV per atom
data_Y2Ho3ThS6
_chemical_formula_sum 'Y4 Ho6 Th2 S12'
_cell_length_a 17.1137
_cell_length_b 3.9173
_cell_length_c 7.8734
_cell_angle_alpha 90.00
_cell_angle_beta 103.43
_cell_angle_gamma 90.00
_space_group_name_H-M_alt 'C 1 2/m 1'
_space_group_IT_number 12
_space_group_name_Hall '-C 2y'
loop_
_atom_site_label
_atom_site_type_symbol
_atom_site_fract_x
_atom_site_fract_y
_atom_site_fract_z
Y1 Y 0.1642 0.0000 0.3291
Ho1 Ho 0.0000 0.5000 0.5000
Ho2 Ho 0.1638 0.0000 0.8341
Th1 Th 0.0000 0.5000 0.0000
S1 S 0.9996 0.0000 0.2620
S2 S 0.1674 0.5000 0.5852
S3 S 0.1721 0.5000 0.0839

***

Record 4
# YHoTh2S4 | Alexandria | PBE | relaxed
# **DOS(E_F)**: 4.9 states/eV per cell
# **Magnetization**: 0.000 μB/cell
# **Formation energy (no corrections)**: -1.9014 eV per atom
data_YHoTh2S4
_chemical_formula_sum 'Y1 Ho1 Th2 S4'
_cell_length_a 6.7452
_cell_length_b 3.9313
_cell_length_c 7.0666
_cell_angle_alpha 90.00
_cell_angle_beta 108.82
_cell_angle_gamma 90.00
_space_group_name_H-M_alt 'P 1 2/m 1'
_space_group_IT_number 10
_space_group_name_Hall '-P 2y'
loop_
_atom_site_label
_atom_site_type_symbol
_atom_site_fract_x
_atom_site_fract_y
_atom_site_fract_z
Y1 Y 0.0000 0.0000 0.0000
Ho1 Ho 0.5000 0.5000 0.0000
Th1 Th 0.0000 0.5000 0.5000
Th2 Th 0.5000 0.0000 0.5000
S1 S 0.2463 0.5000 0.2339
S2 S 0.2569 0.0000 0.7671